Record 1
Computed, not measured: an optimized crystal structure of NaLiHf2 at the PBE-GGA level of DFT.

Cell and atoms, written as CIF:
```
data_NaLiHf2
_cell_length_a 3.9989
_cell_length_b 3.9989
_cell_length_c 12.3419
_cell_angle_alpha 80.68
_cell_angle_beta 80.68
_cell_angle_gamma 90.00
_symmetry_space_group_name_H-M 'P 1'
_symmetry_Int_Tables_number 1
loop_
_symmetry_equiv_pos_as_xyz
'x,y,z'
loop_
_atom_site_label
_atom_site_type_symbol
_atom_site_fract_x
_atom_site_fract_y
_atom_site_fract_z
_atom_site_occupancy
Na1 Na 0.0000 0.0000 0.0000 1
Na2 Na 0.7500 0.2500 0.5000 1
Hf1 Hf 0.6223 0.1250 0.2500 1
Hf2 Hf 0.1277 0.6250 0.2500 1
Hf3 Hf 0.3750 0.3777 0.7500 1
Hf4 Hf 0.8750 0.8723 0.7500 1
Li1 Li 0.5000 0.5000 0.0000 1
Li2 Li 0.2500 0.7500 0.5000 1
```

## Properties
**N(E_F)**: 4.352 states/eV/f.u.
**Total energy**: -40.5 eV for the cell shown

=====

Record 2
Computed, not measured: an optimized crystal structure of TeIr2Ru at the PBE-GGA level of DFT.

Cell and atoms, written as CIF:
```
data_TeIr2Ru
_cell_length_a 2.8850
_cell_length_b 2.8850
_cell_length_c 8.0097
_cell_angle_alpha 90.00
_cell_angle_beta 90.00
_cell_angle_gamma 90.00
_symmetry_space_group_name_H-M 'P 1'
_symmetry_Int_Tables_number 1
loop_
_symmetry_equiv_pos_as_xyz
'x,y,z'
loop_
_atom_site_label
_atom_site_type_symbol
_atom_site_fract_x
_atom_site_fract_y
_atom_site_fract_z
_atom_site_occupancy
Ir1 Ir 0.0000 0.0000 0.0285 1
Ir2 Ir 0.0000 0.0000 0.4715 1
Ru1 Ru 0.5000 0.5000 0.2500 1
Te1 Te 0.5000 0.5000 0.7500 1
```

## Properties
**N(E_F)**: 3.609 states/eV/f.u.
**Formation energy from raw total energies**: 1.84 eV per formula unit

=====

Record 3
Computed, not measured: an optimized crystal structure of Rb2AgGe at the PBE-GGA level of DFT.

Cell and atoms, written as CIF:
```
data_Rb2AgGe
_cell_length_a 6.6607
_cell_length_b 6.7707
_cell_length_c 6.7707
_cell_angle_alpha 106.34
_cell_angle_beta 90.00
_cell_angle_gamma 90.00
_symmetry_space_group_name_H-M 'P 1'
_symmetry_Int_Tables_number 1
loop_
_symmetry_equiv_pos_as_xyz
'x,y,z'
loop_
_atom_site_label
_atom_site_type_symbol
_atom_site_fract_x
_atom_site_fract_y
_atom_site_fract_z
_atom_site_occupancy
Rb1 Rb 0.7500 0.9800 0.3218 1
Rb2 Rb 0.2500 0.0200 0.6782 1
Rb3 Rb 0.2500 0.6782 0.0200 1
Rb4 Rb 0.7500 0.3218 0.9800 1
Ag1 Ag 0.5000 0.5000 0.5000 1
Ag2 Ag 0.0000 0.5000 0.5000 1
Ge1 Ge 0.2500 0.2559 0.2559 1
Ge2 Ge 0.7500 0.7441 0.7441 1
```

## Properties
**N(E_F)**: 3.117 states/eV/f.u.
**Total energy**: -18.7 eV for the cell shown